No. 1
A relaxed Mg3Ag4Ge crystal. Source: the Alexandria database, functional PBE-GGA.

## Properties
Theoretical density: 6.6 g/cm3
Final energy: -21.88 eV per cell
Energy relative to the elements: -0.134 eV per atom

a = 8.041 Å, b = 8.041 Å, c = 4.444 Å
α = 105.85°, β = 105.85°, γ = 32.07°
Fractional coordinates of all 8 atoms:
1 Mg 0.000 0.000 0.000
2 Mg 0.250 0.250 0.250
3 Mg 0.750 0.750 0.750
4 Ag 0.126 0.126 0.627
5 Ag 0.374 0.374 0.873
6 Ag 0.626 0.626 0.127
7 Ag 0.874 0.874 0.373
8 Ge 0.500 0.500 0.500



No. 2
A relaxed Mg5Ag4Ge crystal. Source: the Alexandria database, functional PBE-GGA.

## Properties
Theoretical density: 5.6 g/cm3
Final energy: -26.09 eV per cell
Energy relative to the elements: -0.210 eV per atom

a = 3.328 Å, b = 3.328 Å, c = 16.874 Å
α = 90.00°, β = 90.00°, γ = 90.00°
Fractional coordinates of all 10 atoms:
1 Mg 0.000 0.000 0.000
2 Mg 0.000 0.000 0.196
3 Mg 0.000 0.000 0.395
4 Mg 0.000 0.000 0.605
5 Mg 0.000 0.000 0.804
6 Ag 0.500 0.500 0.098
7 Ag 0.500 0.500 0.294
8 Ag 0.500 0.500 0.706
9 Ag 0.500 0.500 0.902
10 Ge 0.500 0.500 0.500



No. 3
A relaxed MgAgGe2 crystal. Source: the Alexandria database, functional PBE-GGA.

## Properties
Theoretical density: 5.7 g/cm3
Final energy: -26.00 eV per cell
Energy relative to the elements: 0.171 eV per atom

a = 6.097 Å, b = 6.097 Å, c = 6.097 Å
α = 101.77°, β = 101.77°, γ = 126.30°
Fractional coordinates of all 8 atoms:
1 Mg 0.000 0.000 0.000
2 Mg 0.750 0.250 0.500
3 Ag 0.250 0.750 0.500
4 Ag 0.500 0.500 0.000
5 Ge 0.151 0.625 0.026
6 Ge 0.375 0.401 0.526
7 Ge 0.599 0.125 0.974
8 Ge 0.875 0.849 0.474



No. 4
A relaxed Mg5Ag12Ge2 crystal. Source: the Alexandria database, functional PBE-GGA.

## Properties
Theoretical density: 6.7 g/cm3
Final energy: -50.15 eV per cell
Energy relative to the elements: 0.067 eV per atom

a = 8.347 Å, b = 8.347 Å, c = 9.277 Å
α = 105.38°, β = 105.38°, γ = 38.66°
Fractional coordinates of all 19 atoms:
1 Mg 0.000 0.000 0.000
2 Mg 0.302 0.302 0.118
3 Mg 0.376 0.376 0.632
4 Mg 0.624 0.624 0.368
5 Mg 0.698 0.698 0.882
6 Ag 0.041 0.549 0.381
7 Ag 0.103 0.597 0.882
8 Ag 0.123 0.123 0.823
9 Ag 0.403 0.897 0.118
10 Ag 0.451 0.959 0.619
11 Ag 0.477 0.477 0.138
12 Ag 0.523 0.523 0.862
13 Ag 0.549 0.041 0.381
14 Ag 0.597 0.103 0.882
15 Ag 0.877 0.877 0.177
16 Ag 0.897 0.403 0.118
17 Ag 0.959 0.451 0.619
18 Ge 0.243 0.757 0.500
19 Ge 0.757 0.243 0.500



No. 5
A relaxed Mg2AgGe2 crystal. Source: the Alexandria database, functional PBE-GGA.

## Properties
Theoretical density: 5.1 g/cm3
Final energy: -31.44 eV per cell
Energy relative to the elements: -0.089 eV per atom
Offset from the most stable computed form: 0 meV per atom

a = 6.921 Å, b = 6.921 Å, c = 4.102 Å
α = 90.00°, β = 90.00°, γ = 90.00°
Fractional coordinates of all 10 atoms:
1 Mg 0.173 0.327 0.000
2 Mg 0.327 0.827 0.000
3 Mg 0.673 0.173 0.000
4 Mg 0.827 0.673 0.000
5 Ag 0.000 0.000 0.500
6 Ag 0.500 0.500 0.500
7 Ge 0.130 0.630 0.500
8 Ge 0.370 0.130 0.500
9 Ge 0.630 0.870 0.500
10 Ge 0.870 0.370 0.500



No. 6
A relaxed MgMnAgGe2 crystal. Source: the Alexandria database, functional PBE-GGA.

## Properties
Theoretical density: 5.5 g/cm3
Final energy: -21.38 eV per cell
Energy relative to the elements: 0.294 eV per atom

a = 4.533 Å, b = 4.533 Å, c = 4.927 Å
α = 90.00°, β = 90.00°, γ = 90.00°
Fractional coordinates of all 5 atoms:
1 Mg 0.000 0.000 0.000
2 Mn 0.000 0.000 0.500
3 Ag 0.500 0.500 0.000
4 Ge 0.000 0.500 0.500
5 Ge 0.500 0.000 0.500



No. 7
A relaxed Mg2AgGeP crystal. Source: the Alexandria database, functional PBE-GGA.

## Properties
Theoretical density: 3.8 g/cm3
Final energy: -15.41 eV per cell
Energy relative to the elements: 0.132 eV per atom

a = 4.813 Å, b = 4.813 Å, c = 4.862 Å
α = 90.00°, β = 90.00°, γ = 90.00°
Fractional coordinates of all 5 atoms:
1 Mg 0.000 0.500 0.000
2 Mg 0.500 0.000 0.000
3 Ag 0.000 0.000 0.500
4 Ge 0.500 0.500 0.500
5 P 0.000 0.000 0.000



No. 8
A relaxed MgPaAgGe crystal. Source: the Alexandria database, functional PBE-GGA.

## Properties
Theoretical density: 8.6 g/cm3
Final energy: -18.97 eV per cell
Energy relative to the elements: -0.102 eV per atom

a = 4.924 Å, b = 4.924 Å, c = 4.924 Å
α = 60.00°, β = 60.00°, γ = 60.00°
Fractional coordinates of all 4 atoms:
1 Mg 0.000 0.000 0.000
2 Pa 0.500 0.500 0.500
3 Ag 0.750 0.750 0.750
4 Ge 0.250 0.250 0.250



No. 9
A relaxed MgAgGe2Pb crystal. Source: the Alexandria database, functional PBE-GGA.

## Properties
Theoretical density: 5.8 g/cm3
Final energy: -14.04 eV per cell
Energy relative to the elements: 0.670 eV per atom

a = 5.006 Å, b = 5.006 Å, c = 5.531 Å
α = 90.00°, β = 90.00°, γ = 90.00°
Fractional coordinates of all 5 atoms:
1 Mg 0.000 0.000 0.000
2 Ag 0.500 0.500 0.500
3 Ge 0.000 0.500 0.000
4 Ge 0.500 0.000 0.000
5 Pb 0.000 0.000 0.500



No. 10
A relaxed PrMgAgGe crystal. Source: the Alexandria database, functional PBE-GGA.

## Properties
Theoretical density: 6.3 g/cm3
Final energy: -15.45 eV per cell
Energy relative to the elements: -0.402 eV per atom

a = 5.041 Å, b = 5.041 Å, c = 5.041 Å
α = 60.00°, β = 60.00°, γ = 60.00°
Fractional coordinates of all 4 atoms:
1 Pr 0.000 0.000 0.000
2 Mg 0.500 0.500 0.500
3 Ag 0.750 0.750 0.750
4 Ge 0.250 0.250 0.250



No. 11
A relaxed PrMgAgGe2 crystal. Source: the Alexandria database, functional PBE-GGA.

## Properties
Theoretical density: 6.5 g/cm3
Final energy: -20.90 eV per cell
Energy relative to the elements: -0.488 eV per atom

a = 6.594 Å, b = 6.594 Å, c = 6.594 Å
α = 142.12°, β = 142.12°, γ = 54.65°
Fractional coordinates of all 5 atoms:
1 Pr 0.000 0.000 0.000
2 Mg 0.750 0.250 0.500
3 Ag 0.250 0.750 0.500
4 Ge 0.393 0.393 0.000
5 Ge 0.607 0.607 0.000



No. 12
A relaxed MgAgGePt crystal. Source: the Alexandria database, functional PBE-GGA.

## Properties
Theoretical density: 9.9 g/cm3
Final energy: -16.45 eV per cell
Energy relative to the elements: -0.335 eV per atom

a = 4.566 Å, b = 4.566 Å, c = 4.566 Å
α = 60.00°, β = 60.00°, γ = 60.00°
Fractional coordinates of all 4 atoms:
1 Mg 0.000 0.000 0.000
2 Ag 0.250 0.250 0.250
3 Ge 0.500 0.500 0.500
4 Pt 0.750 0.750 0.750



No. 13
A relaxed PuMgAgGe crystal. Source: the Alexandria database, functional PBE-GGA.

## Properties
Theoretical density: 8.7 g/cm3
Final energy: -24.26 eV per cell
Energy relative to the elements: -0.217 eV per atom

a = 4.940 Å, b = 4.940 Å, c = 4.940 Å
α = 60.00°, β = 60.00°, γ = 60.00°
Fractional coordinates of all 4 atoms:
1 Pu 0.000 0.000 0.000
2 Mg 0.500 0.500 0.500
3 Ag 0.750 0.750 0.750
4 Ge 0.250 0.250 0.250



No. 14
A relaxed MgRe2AgGe crystal. Source: the Alexandria database, functional PBE-GGA.

## Properties
Theoretical density: 9.4 g/cm3
Final energy: -22.80 eV per cell
Energy relative to the elements: 2.233 eV per atom

a = 4.678 Å, b = 4.678 Å, c = 4.649 Å
α = 90.00°, β = 90.00°, γ = 90.00°
Fractional coordinates of all 5 atoms:
1 Mg 0.000 0.000 0.000
2 Re 0.000 0.500 0.000
3 Re 0.500 0.000 0.000
4 Ag 0.500 0.500 0.500
5 Ge 0.000 0.000 0.500



No. 15
A relaxed MgAgGeRh crystal. Source: the Alexandria database, functional PBE-GGA.

## Properties
Theoretical density: 8.0 g/cm3
Final energy: -17.30 eV per cell
Energy relative to the elements: -0.222 eV per atom

a = 4.492 Å, b = 4.492 Å, c = 4.492 Å
α = 60.00°, β = 60.00°, γ = 60.00°
Fractional coordinates of all 4 atoms:
1 Mg 0.000 0.000 0.000
2 Ag 0.750 0.750 0.750
3 Ge 0.500 0.500 0.500
4 Rh 0.250 0.250 0.250



No. 16
A relaxed Mg2AgGeS4 crystal. Source: the Alexandria database, functional PBE-GGA.

## Properties
Theoretical density: 3.1 g/cm3
Final energy: -33.03 eV per cell
Formation energy from raw total energies: -0.732 eV/atom

a = 6.910 Å, b = 6.907 Å, c = 5.837 Å
α = 65.03°, β = 64.98°, γ = 49.98°
Fractional coordinates of all 8 atoms:
1 Mg 0.000 0.000 0.500
2 Mg 0.500 0.500 0.000
3 Ag 0.250 0.250 0.750
4 Ge 0.750 0.750 0.250
5 S 0.117 0.637 0.883
6 S 0.383 0.864 0.136
7 S 0.637 0.117 0.363
8 S 0.864 0.383 0.617



No. 17
A relaxed MgScAgGe crystal. Source: the Alexandria database, functional PBE-GGA.

## Properties
Theoretical density: 5.5 g/cm3
Final energy: -16.87 eV per cell
Energy relative to the elements: -0.369 eV per atom

a = 4.755 Å, b = 4.755 Å, c = 4.755 Å
α = 60.00°, β = 60.00°, γ = 60.00°
Fractional coordinates of all 4 atoms:
1 Mg 0.000 0.000 0.000
2 Sc 0.500 0.500 0.500
3 Ag 0.250 0.250 0.250
4 Ge 0.750 0.750 0.750



No. 18
A relaxed MgAg2GeSe4 crystal. Source: the Alexandria database, functional PBE-GGA.

## Properties
Theoretical density: 4.9 g/cm3
Final energy: -29.57 eV per cell
Formation energy from raw total energies: -0.464 eV/atom

a = 6.068 Å, b = 6.070 Å, c = 7.194 Å
α = 114.94°, β = 114.93°, γ = 90.00°
Fractional coordinates of all 8 atoms:
1 Mg 0.000 0.000 0.000
2 Ag 0.250 0.751 0.500
3 Ag 0.501 0.501 0.000
4 Ge 0.750 0.250 0.500
5 Se 0.097 0.137 0.741
6 Se 0.396 0.904 0.260
7 Se 0.644 0.605 0.740
8 Se 0.865 0.357 0.260



No. 19
A relaxed Mg2AgGeSe4 crystal. Source: the Alexandria database, functional PBE-GGA.

## Properties
Theoretical density: 4.1 g/cm3
Final energy: -29.86 eV per cell
Formation energy from raw total energies: -0.659 eV/atom

a = 7.282 Å, b = 7.279 Å, c = 6.120 Å
α = 65.18°, β = 65.12°, γ = 49.70°
Fractional coordinates of all 8 atoms:
1 Mg 0.000 0.000 0.500
2 Mg 0.500 0.500 0.000
3 Ag 0.250 0.250 0.750
4 Ge 0.750 0.750 0.250
5 Se 0.120 0.632 0.368
6 Se 0.380 0.867 0.620
7 Se 0.632 0.120 0.880
8 Se 0.867 0.380 0.133



No. 20
A relaxed MgAgSnGe crystal. Source: the Alexandria database, functional PBE-GGA.

## Properties
Theoretical density: 6.2 g/cm3
Final energy: -12.83 eV per cell
Energy relative to the elements: 0.059 eV per atom

a = 4.962 Å, b = 4.962 Å, c = 4.962 Å
α = 60.00°, β = 60.00°, γ = 60.00°
Fractional coordinates of all 4 atoms:
1 Mg 0.000 0.000 0.000
2 Ag 0.750 0.750 0.750
3 Sn 0.500 0.500 0.500
4 Ge 0.250 0.250 0.250



No. 21
A relaxed Sr2MgAg4Ge3 crystal. Source: the Alexandria database, functional PBE-GGA.

## Properties
Theoretical density: 6.2 g/cm3
Final energy: -33.19 eV per cell
Energy relative to the elements: -0.297 eV per atom

a = 4.506 Å, b = 4.506 Å, c = 11.215 Å
α = 90.00°, β = 90.00°, γ = 90.00°
Fractional coordinates of all 10 atoms:
1 Sr 0.000 0.500 0.237
2 Sr 0.500 0.000 0.763
3 Mg 0.000 0.000 0.500
4 Ag 0.000 0.000 0.000
5 Ag 0.000 0.500 0.637
6 Ag 0.500 0.000 0.363
7 Ag 0.500 0.500 0.000
8 Ge 0.000 0.500 0.868
9 Ge 0.500 0.000 0.132
10 Ge 0.500 0.500 0.500



No. 22
A relaxed Sr2MgAg3Ge4 crystal. Source: the Alexandria database, functional PBE-GGA.

## Properties
Theoretical density: 6.0 g/cm3
Final energy: -35.25 eV per cell
Energy relative to the elements: -0.327 eV per atom

a = 4.472 Å, b = 4.472 Å, c = 11.334 Å
α = 90.00°, β = 90.00°, γ = 90.00°
Fractional coordinates of all 10 atoms:
1 Sr 0.000 0.500 0.247
2 Sr 0.500 0.000 0.753
3 Mg 0.000 0.000 0.500
4 Ag 0.000 0.500 0.867
5 Ag 0.500 0.000 0.133
6 Ag 0.500 0.500 0.500
7 Ge 0.000 0.000 0.000
8 Ge 0.000 0.500 0.639
9 Ge 0.500 0.000 0.361
10 Ge 0.500 0.500 0.000



No. 23
A relaxed SrMgAgGe2 crystal. Source: the Alexandria database, functional PBE-GGA.

## Properties
Theoretical density: 5.4 g/cm3
Final energy: -17.52 eV per cell
Energy relative to the elements: -0.432 eV per atom

a = 6.530 Å, b = 6.530 Å, c = 6.530 Å
α = 140.17°, β = 140.17°, γ = 57.59°
Fractional coordinates of all 5 atoms:
1 Sr 0.000 0.000 0.000
2 Mg 0.750 0.250 0.500
3 Ag 0.250 0.750 0.500
4 Ge 0.390 0.390 0.000
5 Ge 0.610 0.610 0.000



No. 24
A relaxed Mg2AgGeTe4 crystal. Source: the Alexandria database, functional PBE-GGA.

## Properties
Theoretical density: 4.5 g/cm3
Final energy: -26.58 eV per cell
Formation energy from raw total energies: -0.419 eV/atom

a = 7.872 Å, b = 7.872 Å, c = 7.872 Å
α = 130.85°, β = 130.85°, γ = 72.06°
Fractional coordinates of all 8 atoms:
1 Mg 0.250 0.750 0.500
2 Mg 0.750 0.250 0.500
3 Ag 0.000 0.000 0.000
4 Ge 0.500 0.500 0.000
5 Te 0.128 0.625 0.000
6 Te 0.375 0.375 0.503
7 Te 0.625 0.128 0.000
8 Te 0.872 0.872 0.497



No. 25
A relaxed MgAg2GeTe4 crystal. Source: the Alexandria database, functional PBE-GGA.

## Properties
Theoretical density: 5.2 g/cm3
Final energy: -26.59 eV per cell
Formation energy from raw total energies: -0.263 eV/atom

a = 7.840 Å, b = 7.840 Å, c = 7.840 Å
α = 131.81°, β = 131.81°, γ = 70.54°
Fractional coordinates of all 8 atoms:
1 Mg 0.000 0.000 0.000
2 Ag 0.250 0.750 0.500
3 Ag 0.750 0.250 0.500
4 Ge 0.500 0.500 0.000
5 Te 0.141 0.613 0.000
6 Te 0.387 0.387 0.528
7 Te 0.613 0.141 0.000
8 Te 0.859 0.859 0.472



No. 26
A relaxed MgTiAgGe2 crystal. Source: the Alexandria database, functional PBE-GGA.

## Properties
Theoretical density: 4.3 g/cm3
Final energy: -18.76 eV per cell
Energy relative to the elements: 0.562 eV per atom

a = 4.881 Å, b = 4.881 Å, c = 5.321 Å
α = 90.00°, β = 90.00°, γ = 90.00°
Fractional coordinates of all 5 atoms:
1 Mg 0.000 0.000 0.000
2 Ti 0.000 0.000 0.500
3 Ag 0.500 0.500 0.000
4 Ge 0.000 0.500 0.500
5 Ge 0.500 0.000 0.500